DFT (PBE-GGA) results for an optimized crystal structure of Ca2PrRh.

a b c (Å): 7.580 9.732 6.546
angles (deg): 90.00 90.00 90.00
Element x y z (fractional)
1 Ca 0.173 0.067 0.162
2 Ca 0.173 0.433 0.162
3 Ca 0.327 0.567 0.662
4 Ca 0.327 0.933 0.662
5 Ca 0.673 0.067 0.338
6 Ca 0.673 0.433 0.338
7 Ca 0.827 0.567 0.838
8 Ca 0.827 0.933 0.838
9 Pr 0.043 0.250 0.641
10 Pr 0.457 0.750 0.141
11 Pr 0.543 0.250 0.859
12 Pr 0.957 0.750 0.359
13 Rh 0.122 0.750 0.971
14 Rh 0.378 0.250 0.471
15 Rh 0.622 0.750 0.529
16 Rh 0.878 0.250 0.029

Computed properties:
- energy relative to the elements (eV/atom) = -0.3460
- magnetization (μB per cell) = 0.00
- density of states at the Fermi level (states/eV/cell) = 12.5